First-principles (GGA-PBE) data for a relaxed structure of Ba2TeW, as listed in the Alexandria database.

Values from the calculation:
Energy relative to the elements, uncorrected, eV per atom: 0.32
Fermi-level density of states, states/eV per cell: 2.402
Space group: Cm, No. 8
ρ, g/cm³: 7.26

Cell and atoms, written as extended XYZ:
```
4
Lattice="6.7178 -0.0324 -0.0400 5.6506 3.6333 -0.0400 1.8488 0.5382 5.4422" Properties=species:S:1:pos:R:3 pbc="T T T"
Ba 12.1330 3.5323 0.2100
Ba 10.8721 3.1653 3.7245
Te 7.7037 2.2428 2.6581
W 2.9853 0.8691 1.3707
```